Entry 1:
The following is a PBE calculation of a relaxed structure of YScTl2, from Alexandria via LeMat-Bulk.

The formation energy is -0.092 eV/atom. Its spin magnetization is 0.00 μB per cell. The value obtained for the total energy is -17.89 eV for the cell shown. The crystal system is tetragonal.

Cell: 3.6085 3.6085 8.3806 Å, 90.00 90.00 90.00°
Last column: nearest neighbours and their distance in Å.
Space group P4mm (No. 99)
One atom of each set of equivalent atoms:
Y 0.0000 0.0000 0.0000 x1  4 Tl 3.38, 4 Sc 3.39, 4 Y 3.61
Sc 0.5000 0.5000 0.2657 x1  4 Tl 3.16, 4 Y 3.39
Tl 0.0000 0.0000 0.4885 x1  4 Sc 3.16, 4 Tl 3.29
Tl 0.5000 0.5000 0.7363 x1  8 Tl 3.29-3.61, 4 Y 3.38

Entry 2:
The following is a PBE calculation of a relaxed structure of Ac3TbPr7, from Alexandria via LeMat-Bulk.

The formation energy is 0.247 eV/atom. Its spin magnetization is 0.00 μB per cell. The value obtained for the total energy is -95.38 eV for the cell shown. The crystal system is orthorhombic.

Cell: 6.0730 11.8619 12.0291 Å, 90.00 90.00 90.00°
Last column: nearest neighbours and their distance in Å.
Space group Immm (No. 71)
One atom of each set of equivalent atoms:
Ac 0.0000 0.0000 0.0000 x2  4 Pr 3.45
Ac 0.0000 0.2883 0.5000 x4  5 Pr 3.42-3.73
Tb 0.0000 0.5000 0.0000 x2  2 Pr 3.04
Pr 0.0000 0.0000 0.5000 x2  2 Tb 3.04
Pr 0.0000 0.2086 0.2002 x8  3 Pr 3.41-3.60, 2 Ac 3.45-3.73
Pr 0.0000 0.5000 0.2851 x4  1 Tb 3.43, 2 Pr 3.60, 2 Ac 3.60